1.
Here is Al2O3 at its PBEsol-relaxed geometry from the Alexandria database. Energies are from SCAN.

Values from the calculation:
DOS at the Fermi energy = 0.00 states/eV per cell
Crystal system = monoclinic
Total energy = -406.12 eV for the cell shown

The structure in POSCAR format:
```
Al2O3
1.0
5.605 0.000 -0.005
2.767 4.874 -0.005
-0.120 -0.070 13.572
O Al
24 16
direct
0.321 0.321 0.079 O
0.156 0.654 0.914 O
0.163 0.163 0.406 O
0.837 0.332 0.594 O
0.004 0.004 0.742 O
0.654 0.156 0.914 O
0.844 0.346 0.086 O
0.505 0.505 0.253 O
0.346 0.844 0.086 O
0.837 0.837 0.594 O
0.332 0.837 0.594 O
0.033 0.489 0.746 O
0.668 0.163 0.406 O
0.664 0.664 0.413 O
0.163 0.668 0.406 O
0.823 0.823 0.084 O
0.495 0.495 0.747 O
0.511 0.967 0.254 O
0.967 0.511 0.254 O
0.489 0.033 0.746 O
0.336 0.336 0.587 O
0.996 0.996 0.258 O
0.177 0.177 0.916 O
0.679 0.679 0.921 O
0.677 0.166 0.660 Al
0.166 0.677 0.660 Al
0.348 0.348 0.840 Al
0.500 0.000 0.000 Al
0.333 0.333 0.453 Al
0.676 0.676 0.793 Al
0.323 0.834 0.340 Al
0.652 0.652 0.160 Al
0.833 0.833 0.339 Al
0.667 0.667 0.547 Al
0.000 0.500 0.000 Al
0.167 0.167 0.661 Al
0.834 0.323 0.340 Al
0.324 0.324 0.207 Al
0.997 0.997 0.878 Al
0.003 0.003 0.122 Al
```

2.
Here is NaZrNb2Fe at its PBEsol-relaxed geometry from the Alexandria database. Energies are from SCAN.

Values from the calculation:
DOS at the Fermi energy = 6.23 states/eV per cell
Crystal system = tetragonal
Calculated formation energy = 205.05 kJ per mole of atoms
Total energy = -108.68 eV for the cell shown

The structure in POSCAR format:
```
NaZrNb2Fe
1.0
-0.338 3.362 -3.141
2.769 -2.366 -2.831
-3.810 -2.170 -1.913
Fe Nb Zr Na
1 2 1 1
direct
0.500 0.500 0.500 Fe
0.500 0.000 0.000 Nb
0.000 0.500 0.000 Nb
0.000 0.000 0.500 Zr
0.000 0.000 0.000 Na
```

3.
Here is SiRuBr2 at its PBEsol-relaxed geometry from the Alexandria database. Energies are from SCAN.

Values from the calculation:
DOS at the Fermi energy = 1.99 states/eV per cell
Crystal system = trigonal
Total energy = -81.05 eV for the cell shown

The structure in POSCAR format:
```
SiRuBr2
1.0
3.396 0.000 0.000
1.698 2.941 0.000
1.698 0.980 8.305
Br Si Ru
2 1 1
direct
0.729 0.729 0.813 Br
0.271 0.271 0.187 Br
0.500 0.500 0.500 Si
0.000 0.000 0.000 Ru
```